Compound: TlCd
Source: Alexandria
Functional: PBE
Structure: optimized geometry

As for the formation energy: 26.1 meV/atom. The value obtained for the theoretical density is 9.7 Mg/m³. As for the magnetic moment: 0.00 μB/f.u.

abc: 3.403 3.403 9.382
angles: 90.00 90.00 90.00
Space group P4/nmm (No. 129, origin choice 2)
Unique sites:
Tl 0.250 0.250 0.149 [2 per cell]
Cd 0.250 0.250 0.605 [2 per cell]

***

Compound: TlCd8
Source: Alexandria
Functional: PBE
Structure: optimized geometry

The value obtained for the distance to the lowest polymorph of the same formula is 2.9 meV per atom. As for the formation energy: 31.6 meV/atom. The value obtained for the theoretical density is 8.5 Mg/m³. As for the magnetic moment: 0.00 μB/f.u.

abc: 5.151 5.933 7.843
angles: 87.97 86.37 64.37
Space group P-1 (No. 2)
Unique sites:
Tl 0.000 0.000 0.000 [1 per cell]
Cd 0.008 0.336 0.337 [2 per cell]
Cd 0.326 0.349 0.999 [2 per cell]
Cd 0.330 0.003 0.661 [2 per cell]
Cd 0.345 0.660 0.338 [2 per cell]

***

Compound: TlCd7
Source: Alexandria
Functional: PBE
Structure: optimized geometry

The value obtained for the distance to the lowest polymorph of the same formula is 9.0 meV per atom. As for the formation energy: 43.7 meV/atom. The value obtained for the theoretical density is 8.6 Mg/m³. As for the magnetic moment: 0.00 μB/f.u.

abc: 9.144 9.144 9.144
angles: 90.00 90.00 90.00
Space group Fm-3m (No. 225)
Unique sites:
Tl 0.000 0.000 0.000 [4 per cell]
Cd 0.000 0.000 0.500 [4 per cell]
Cd 0.000 0.250 0.250 [24 per cell]

***

Compound: TlCd6
Source: Alexandria
Functional: PBE
Structure: optimized geometry

The value obtained for the distance to the lowest polymorph of the same formula is 0.0 meV per atom. As for the formation energy: 31.0 meV/atom. The value obtained for the theoretical density is 8.4 Mg/m³. As for the magnetic moment: 0.00 μB/f.u.

abc: 9.216 6.166 12.287
angles: 90.00 90.00 90.00
Space group Pnma (No. 62)
Unique sites:
Tl 0.236 0.250 0.062 [4 per cell]
Cd 0.060 0.014 0.309 [8 per cell]
Cd 0.073 0.750 0.083 [4 per cell]
Cd 0.105 0.250 0.522 [4 per cell]
Cd 0.141 0.750 0.850 [4 per cell]
Cd 0.185 0.250 0.771 [4 per cell]

***

Compound: TlCd
Source: Alexandria
Functional: PBE
Structure: optimized geometry

As for the formation energy: 52.1 meV/atom. The value obtained for the theoretical density is 9.5 Mg/m³. As for the magnetic moment: 0.00 μB/f.u.

abc: 6.162 6.203 6.926
angles: 104.22 100.79 114.48
Space group P1 (No. 1)
Unique sites:
Tl 0.000 0.000 0.000 [1 per cell]
Tl 0.054 0.496 0.735 [1 per cell]
Tl 0.498 0.047 0.717 [1 per cell]
Tl 0.578 0.081 0.233 [1 per cell]
Cd 0.092 0.569 0.232 [1 per cell]
Cd 0.470 0.479 0.533 [1 per cell]
Cd 0.544 0.527 0.069 [1 per cell]
Cd 0.941 0.922 0.495 [1 per cell]

***

Compound: TlCd4
Source: Alexandria
Functional: PBE
Structure: optimized geometry

The value obtained for the distance to the lowest polymorph of the same formula is 0.0 meV per atom. As for the formation energy: 8.8 meV/atom. The value obtained for the theoretical density is 8.7 Mg/m³. As for the magnetic moment: 0.00 μB/f.u.

abc: 9.020 9.020 3.065
angles: 90.00 90.00 90.00
Space group I4/m (No. 87)
Unique sites:
Tl 0.000 0.000 0.000 [2 per cell]
Cd 0.132 0.335 0.500 [8 per cell]

***

Compound: Tl4Cd
Source: Alexandria
Functional: PBE
Structure: optimized geometry

The value obtained for the distance to the lowest polymorph of the same formula is 0.0 meV per atom. As for the formation energy: 21.5 meV/atom. The value obtained for the theoretical density is 10.3 Mg/m³. As for the magnetic moment: 0.00 μB/f.u.

abc: 8.756 15.252 5.785
angles: 90.00 128.93 90.00
Space group C2/c (No. 15)
Unique sites:
Tl 0.130 0.091 0.127 [8 per cell]
Tl 0.154 0.311 0.157 [8 per cell]
Cd 0.000 0.497 0.250 [4 per cell]

***

Compound: TlCd
Source: Alexandria
Functional: PBE
Structure: optimized geometry

As for the formation energy: 38.5 meV/atom. The value obtained for the theoretical density is 9.4 Mg/m³. As for the magnetic moment: 0.00 μB/f.u.

abc: 6.0482 6.0482 10.5580
angles: 90.00 90.00 120.00
Space group P6_3/mmc (No. 194)
Unique sites:
Tl 0.0000 0.0000 0.0000 [2 per cell]
Tl 0.3333 0.6667 0.0674 [4 per cell]
Cd 0.1711 0.3421 0.7500 [6 per cell]

***

Compound: TlCd
Source: Alexandria
Functional: PBE
Structure: optimized geometry

As for the formation energy: 43.8 meV/atom. The value obtained for the theoretical density is 9.6 Mg/m³. As for the magnetic moment: 0.00 μB/f.u.

abc: 3.549 5.082 6.301
angles: 90.00 104.35 90.00
Space group P2_1/m (No. 11)
Unique sites:
Tl 0.164 0.250 0.334 [2 per cell]
Cd 0.420 0.250 0.859 [2 per cell]

***

Compound: TlCd
Source: Alexandria
Functional: PBE
Structure: optimized geometry

As for the formation energy: 95.1 meV/atom. The value obtained for the theoretical density is 8.8 Mg/m³. As for the magnetic moment: 0.00 μB/f.u.

abc: 4.8846 4.8846 5.7874
angles: 90.00 90.00 120.00
Space group P6_3/mmc (No. 194)
Unique sites:
Tl 0.3333 0.6667 0.2500 [2 per cell]
Cd 0.0000 0.0000 0.0000 [2 per cell]

***

Compound: Tl5Cd3
Source: Alexandria
Functional: PBE
Structure: optimized geometry

The value obtained for the distance to the lowest polymorph of the same formula is 11.0 meV per atom. As for the formation energy: 55.2 meV/atom. The value obtained for the theoretical density is 9.9 Mg/m³. As for the magnetic moment: 0.00 μB/f.u.

abc: 8.211 10.967 5.081
angles: 90.00 90.00 90.00
Space group Cmmm (No. 65)
Unique sites:
Tl 0.000 0.000 0.000 [2 per cell]
Tl 0.000 0.219 0.500 [4 per cell]
Tl 0.250 0.250 0.000 [4 per cell]
Cd 0.000 0.500 0.000 [2 per cell]
Cd 0.204 0.500 0.500 [4 per cell]

***

Compound: TlCd
Source: Alexandria
Functional: PBE
Structure: optimized geometry

As for the formation energy: 60.5 meV/atom. The value obtained for the theoretical density is 9.7 Mg/m³. As for the magnetic moment: 0.00 μB/f.u.

abc: 3.3851 3.3851 16.4713
angles: 90.00 90.00 120.00
Space group R-3m (No. 166, hexagonal axes)
Unique sites:
Tl 0.0000 0.0000 0.0000 [3 per cell]
Cd 0.0000 0.0000 0.5000 [3 per cell]

***

Compound: TlCd
Source: Alexandria
Functional: PBE
Structure: optimized geometry

As for the formation energy: 44.0 meV/atom. The value obtained for the theoretical density is 9.6 Mg/m³. As for the magnetic moment: 0.00 μB/f.u.

abc: 11.930 3.325 8.661
angles: 90.00 106.51 90.00
Space group Cm (No. 8)
Unique sites:
Tl 0.000 0.000 0.000 [2 per cell]
Tl 0.009 0.000 0.399 [2 per cell]
Tl 0.176 0.500 0.760 [2 per cell]
Cd 0.235 0.500 0.373 [2 per cell]
Cd 0.285 0.000 0.100 [2 per cell]
Cd 0.390 0.000 0.661 [2 per cell]

***

Compound: Tl6Cd
Source: Alexandria
Functional: PBE
Structure: optimized geometry

The value obtained for the distance to the lowest polymorph of the same formula is 367.0 meV per atom. As for the formation energy: 390.4 meV/atom. The value obtained for the theoretical density is 6.9 Mg/m³. As for the magnetic moment: 0.00 μB/f.u.

abc: 8.621 8.621 8.621
angles: 90.00 90.00 90.00
Space group Im-3m (No. 229)
Unique sites:
Tl 0.000 0.250 0.500 [12 per cell]
Cd 0.000 0.000 0.000 [2 per cell]

***

Compound: TlCd
Source: Alexandria
Functional: PBE
Structure: optimized geometry

As for the formation energy: 48.0 meV/atom. The value obtained for the theoretical density is 9.5 Mg/m³. As for the magnetic moment: 0.00 μB/f.u.

abc: 6.231 5.234 6.817
angles: 90.00 96.34 90.00
Space group Pm (No. 6)
Unique sites:
Tl 0.000 0.000 0.000 [1 per cell]
Tl 0.066 0.000 0.512 [1 per cell]
Tl 0.339 0.500 0.911 [1 per cell]
Tl 0.535 0.000 0.197 [1 per cell]
Cd 0.393 0.500 0.425 [1 per cell]
Cd 0.558 0.000 0.693 [1 per cell]
Cd 0.822 0.500 0.720 [1 per cell]
Cd 0.876 0.500 0.260 [1 per cell]

***

Compound: Tl7Cd
Source: Alexandria
Functional: PBE
Structure: optimized geometry

The value obtained for the distance to the lowest polymorph of the same formula is 0.0 meV per atom. As for the formation energy: 34.7 meV/atom. The value obtained for the theoretical density is 10.8 Mg/m³. As for the magnetic moment: 0.00 μB/f.u.

abc: 4.724 4.724 21.331
angles: 90.00 90.00 90.00
Space group I4/mmm (No. 139)
Unique sites:
Tl 0.000 0.000 0.000 [2 per cell]
Tl 0.000 0.000 0.251 [4 per cell]
Tl 0.000 0.500 0.122 [8 per cell]
Cd 0.000 0.000 0.500 [2 per cell]

***

Compound: Tl4Cd
Source: Alexandria
Functional: PBE
Structure: optimized geometry

The value obtained for the distance to the lowest polymorph of the same formula is 13.9 meV per atom. As for the formation energy: 35.4 meV/atom. The value obtained for the theoretical density is 10.6 Mg/m³. As for the magnetic moment: 0.00 μB/f.u.

abc: 3.505 3.505 23.820
angles: 90.00 90.00 90.00
Space group I4/mmm (No. 139)
Unique sites:
Tl 0.000 0.000 0.091 [4 per cell]
Tl 0.000 0.000 0.303 [4 per cell]
Cd 0.000 0.000 0.500 [2 per cell]

***

Compound: TlCd
Source: Alexandria
Functional: PBE
Structure: optimized geometry

As for the formation energy: 58.4 meV/atom. The value obtained for the theoretical density is 9.5 Mg/m³. As for the magnetic moment: 0.00 μB/f.u.

abc: 6.373 6.574 10.576
angles: 90.00 90.00 90.00
Space group P2_12_12_1 (No. 19)
Unique sites:
Tl 0.062 0.183 0.018 [4 per cell]
Tl 0.115 0.544 0.783 [4 per cell]
Cd 0.126 0.018 0.298 [4 per cell]
Cd 0.220 0.732 0.052 [4 per cell]

***

Compound: TlCd
Source: Alexandria
Functional: PBE
Structure: optimized geometry

As for the formation energy: 45.4 meV/atom. The value obtained for the theoretical density is 9.5 Mg/m³. As for the magnetic moment: 0.00 μB/f.u.

abc: 6.350 5.136 6.809
angles: 90.00 96.34 90.00
Space group P2_1/m (No. 11)
Unique sites:
Tl 0.111 0.250 0.190 [2 per cell]
Tl 0.317 0.750 0.456 [2 per cell]
Cd 0.205 0.250 0.719 [2 per cell]
Cd 0.385 0.750 0.957 [2 per cell]

***

Compound: TlCd
Source: Alexandria
Functional: PBE
Structure: optimized geometry

As for the formation energy: 380.8 meV/atom. The value obtained for the theoretical density is 6.6 Mg/m³. As for the magnetic moment: 0.00 μB/f.u.

abc: 6.839 6.839 6.839
angles: 90.00 90.00 90.00
Space group F-43m (No. 216)
Unique sites:
Tl 0.000 0.000 0.000 [4 per cell]
Cd 0.250 0.250 0.250 [4 per cell]